Pm3Nd2Al4: relaxed, PBE-GGA.

Unit cell a=7.019 b=16.119 c=9.043 alpha=90.00 beta=90.00 gamma=90.00
Space group Cmce (No. 64)
Symmetry-distinct sites (fractional):
Pm  0.000  0.000  0.000
Pm  0.250  0.224  0.250
Nd  0.000  0.106  0.572
Al  0.000  0.185  0.972
Al  0.250  0.035  0.250

Calculated values
- Formation enthalpy at 0 K: -0.14 eV per atom
- Final energy: -4.445 eV per atom